A plane-wave DFT calculation with PBE-GGA was carried out for crystalline Ca5SbPd2 at its relaxed geometry.

raw formation energy: -718 meV/atom

Geometry as POSCAR:
```
Ca5SbPd2
1.0
-7.655 1.448 -1.280
0.683 -2.866 -7.325
1.830 -5.901 6.734
Ca Pd Sb
10 4 2
Direct
0.000 0.000 0.000
0.195 0.031 0.726
0.695 0.195 0.726
0.469 0.305 0.274
0.969 0.469 0.274
0.805 0.969 0.274
0.531 0.695 0.726
0.305 0.805 0.274
0.500 0.500 0.000
0.031 0.531 0.726
0.626 0.126 0.000
0.126 0.374 0.000
0.374 0.874 0.000
0.874 0.626 0.000
0.750 0.750 0.500
0.250 0.250 0.500
```



A plane-wave DFT calculation with PBE-GGA was carried out for crystalline Tb5Sm2DyMg at its relaxed geometry.

Geometry as POSCAR:
```
Tb5Sm2DyMg
1.0
-0.619 4.564 -2.906
-9.684 -3.132 2.247
0.222 5.684 8.879
Tb Mg Sm Dy
10 2 4 2
Direct
0.014 0.028 0.008
0.289 0.578 0.309
0.382 0.765 0.008
0.618 0.235 0.508
0.500 0.001 0.258
0.986 0.972 0.508
0.290 0.579 0.707
0.710 0.421 0.207
0.711 0.422 0.809
0.500 0.999 0.758
0.405 0.810 0.507
0.595 0.190 0.007
0.885 0.770 0.219
0.115 0.230 0.298
0.885 0.770 0.798
0.115 0.230 0.719
0.795 0.590 0.508
0.205 0.410 0.008
```



A plane-wave DFT calculation with PBE-GGA was carried out for crystalline Cs3KNa2I6 at its relaxed geometry.

raw formation energy: -1411 meV/atom

Geometry as POSCAR:
```
Cs3KNa2I6
1.0
-1.988 3.717 -2.923
-8.714 -5.530 -1.106
-0.752 4.440 10.657
K I Cs Na
1 6 3 2
Direct
0.500 0.000 0.000
0.014 0.242 0.029
0.986 0.758 0.971
0.323 0.441 0.645
0.336 0.887 0.672
0.664 0.113 0.328
0.677 0.559 0.355
0.836 0.168 0.673
0.500 0.500 0.000
0.164 0.832 0.327
0.830 0.663 0.660
0.170 0.337 0.340
```



A plane-wave DFT calculation with PBE-GGA was carried out for crystalline Sm3ZnN at its relaxed geometry.

raw formation energy: -739 meV/atom

Geometry as POSCAR:
```
Sm3ZnN
1.0
-2.056 1.672 -6.471
-6.321 1.050 2.279
2.178 9.361 1.726
Sm Zn N
12 4 4
Direct
0.515 0.086 0.750
0.778 0.220 0.458
0.722 0.720 0.542
0.278 0.280 0.042
0.985 0.586 0.250
0.485 0.914 0.250
0.278 0.280 0.458
0.778 0.220 0.042
0.222 0.780 0.958
0.015 0.414 0.750
0.222 0.780 0.542
0.722 0.720 0.958
0.467 0.518 0.750
0.967 0.982 0.750
0.033 0.018 0.250
0.533 0.482 0.250
0.500 0.000 0.500
0.000 0.500 0.000
0.500 0.000 0.000
0.000 0.500 0.500
```



A plane-wave DFT calculation with PBE-GGA was carried out for crystalline GaTePd2C at its relaxed geometry.

raw formation energy: 486 meV/atom

Geometry as POSCAR:
```
GaTePd2C
1.0
4.023 0.000 0.000
0.000 5.841 0.000
0.000 0.000 4.023
Pd Ga Te C
2 1 1 1
Direct
0.000 0.000 0.500
0.500 0.000 0.000
0.500 0.500 0.500
0.000 0.500 0.000
0.000 0.000 0.000
```



A plane-wave DFT calculation with PBE-GGA was carried out for crystalline K2AgPb2 at its relaxed geometry.

Geometry as POSCAR:
```
K2AgPb2
1.0
-3.031 -9.729 -2.712
9.979 -2.447 -2.373
0.507 -1.057 3.225
K Ag Pb
4 2 4
Direct
0.699 0.199 0.000
0.301 0.801 0.000
0.801 0.699 0.000
0.199 0.301 0.000
0.000 0.000 0.000
0.500 0.500 0.000
0.599 0.901 0.500
0.901 0.401 0.500
0.099 0.599 0.500
0.401 0.099 0.500
```



no.,E_tot (eV for the cell shown)
1,-60.52
2,-75.83
3,-32.53
4,-109.80
5,-23.35
6,-22.99